Compound: Pr6Y3Tm2Mg
Source: Alexandria
Functional: GGA-PBE
Structure: relaxed

Calculated density, g cm⁻³: 6.164
DFT formation energy, eV/atom: 0.02

Cell and atoms, written as POSCAR:
```
Pr6Y3Tm2Mg
1.0
3.141 -5.441 0.000
3.141 5.441 0.000
-2.099 0.000 11.622
Pr Y Tm Mg
6 3 2 1
Cartesian
0.000 1.813 8.762 Pr
1.042 0.000 2.870 Pr
0.000 -1.813 8.762 Pr
4.183 1.813 2.861 Pr
3.141 0.000 8.752 Pr
4.183 -1.813 2.861 Pr
-1.049 0.000 5.811 Y
2.091 1.815 5.811 Y
2.091 -1.815 5.811 Y
3.141 3.627 0.000 Tm
3.141 -3.627 0.000 Tm
3.141 0.000 0.000 Mg
```

Compound: Pr2MgV
Source: Alexandria
Functional: GGA-PBE
Structure: relaxed

Calculated density, g cm⁻³: 5.287
DFT formation energy, eV/atom: 0.63

Cell and atoms, written as POSCAR:
```
Pr2MgV
1.0
3.325 0.000 0.000
-1.662 2.879 0.000
0.000 0.000 35.144
Pr Mg V
6 3 3
Cartesian
0.000 0.000 2.848 Pr
0.000 0.000 32.296 Pr
0.000 1.920 20.581 Pr
0.000 1.920 26.278 Pr
1.662 0.960 8.867 Pr
1.662 0.960 14.563 Pr
0.000 0.000 17.572 Mg
0.000 1.920 5.857 Mg
1.662 0.960 29.287 Mg
0.000 0.000 0.000 V
0.000 1.920 23.429 V
1.662 0.960 11.715 V
```

Compound: PrY5Mg
Source: Alexandria
Functional: GGA-PBE
Structure: relaxed

Calculated density, g cm⁻³: 4.493
DFT formation energy, eV/atom: 0.11

Cell and atoms, written as POSCAR:
```
PrY5Mg
1.0
4.430 -4.118 0.000
4.430 4.118 0.000
-2.080 0.000 12.353
Pr Y Mg
2 10 2
Cartesian
2.870 2.855 9.264 Pr
3.910 -2.855 3.088 Pr
0.209 1.063 7.160 Y
0.098 1.341 10.709 Y
1.249 -1.063 0.983 Y
1.138 -1.341 4.533 Y
3.910 0.329 3.088 Y
2.870 -0.329 9.264 Y
5.643 1.341 7.819 Y
5.531 1.063 11.369 Y
6.683 -1.341 1.643 Y
6.571 -1.063 5.193 Y
4.430 0.000 0.000 Mg
3.390 0.000 6.176 Mg
```

Compound: Pr2YMg3
Source: Alexandria
Functional: GGA-PBE
Structure: relaxed

Calculated density, g cm⁻³: 4.223
DFT formation energy, eV/atom: -0.11

Cell and atoms, written as POSCAR:
```
Pr2YMg3
1.0
3.865 0.000 0.000
0.000 3.865 0.000
0.000 0.000 11.676
Pr Y Mg
2 1 3
Cartesian
0.000 0.000 1.994 Pr
0.000 0.000 9.683 Pr
0.000 0.000 5.838 Y
1.933 1.933 0.000 Mg
1.933 1.933 3.996 Mg
1.933 1.933 7.680 Mg
```

Compound: Pr2Y6Mg
Source: Alexandria
Functional: GGA-PBE
Structure: relaxed

Calculated density, g cm⁻³: 4.669
DFT formation energy, eV/atom: 0.14
E above lowest polymorph, eV per atom: 0.1141

Cell and atoms, written as POSCAR:
```
Pr2Y6Mg
1.0
5.026 -3.607 0.000
5.026 3.607 0.000
-2.011 0.000 8.235
Pr Y Mg
2 6 1
Cartesian
1.416 0.000 3.785 Pr
6.626 0.000 4.450 Pr
4.029 1.735 2.393 Y
4.013 1.735 5.841 Y
1.362 0.000 7.632 Y
6.680 0.000 0.603 Y
4.029 -1.735 2.393 Y
4.013 -1.735 5.841 Y
0.000 0.000 0.000 Mg
```

Compound: Pr5Y4Mg2
Source: Alexandria
Functional: GGA-PBE
Structure: relaxed

Calculated density, g cm⁻³: 5.090
DFT formation energy, eV/atom: 0.01

Cell and atoms, written as POSCAR:
```
Pr5Y4Mg2
1.0
9.159 0.000 0.000
0.000 21.533 0.000
0.000 0.000 3.668
Pr Y Mg
10 8 4
Cartesian
0.000 0.000 0.000 Pr
1.179 9.379 0.000 Pr
2.267 4.695 0.000 Pr
2.313 15.461 0.000 Pr
3.401 20.145 0.000 Pr
4.580 10.766 0.000 Pr
5.758 1.388 0.000 Pr
6.846 6.071 0.000 Pr
6.893 16.837 0.000 Pr
7.981 12.154 0.000 Pr
0.646 18.321 1.834 Y
1.986 12.424 1.834 Y
2.594 1.657 1.834 Y
3.934 7.555 1.834 Y
5.225 13.978 1.834 Y
6.565 19.875 1.834 Y
7.174 9.109 1.834 Y
8.514 3.212 1.834 Y
0.396 6.682 1.834 Mg
4.184 17.448 1.834 Mg
4.975 4.084 1.834 Mg
8.764 14.851 1.834 Mg
```

Compound: Pr2YMg5
Source: Alexandria
Functional: GGA-PBE
Structure: relaxed

Calculated density, g cm⁻³: 3.718
DFT formation energy, eV/atom: -0.09

Cell and atoms, written as POSCAR:
```
Pr2YMg5
1.0
5.260 0.000 0.000
0.000 5.260 0.000
0.000 0.000 15.895
Pr Y Mg
4 2 10
Cartesian
0.000 0.000 3.822 Pr
0.000 0.000 12.073 Pr
2.630 2.630 4.126 Pr
2.630 2.630 11.769 Pr
0.000 0.000 7.947 Y
2.630 2.630 0.000 Y
0.000 0.000 0.000 Mg
0.000 2.630 1.813 Mg
0.000 2.630 6.134 Mg
0.000 2.630 9.760 Mg
0.000 2.630 14.081 Mg
2.630 0.000 1.813 Mg
2.630 0.000 6.134 Mg
2.630 0.000 9.760 Mg
2.630 0.000 14.081 Mg
2.630 2.630 7.947 Mg
```

Compound: PrYMg2
Source: Alexandria
Functional: GGA-PBE
Structure: relaxed

Calculated density, g cm⁻³: 4.039
DFT formation energy, eV/atom: -0.12
E above lowest polymorph, eV per atom: 0.0000

Cell and atoms, written as POSCAR:
```
PrYMg2
1.0
7.708 0.000 0.000
0.000 7.708 0.000
0.000 0.000 7.708
Pr Y Mg
4 4 8
Cartesian
0.000 0.000 0.000 Pr
0.000 3.854 3.854 Pr
3.854 0.000 3.854 Pr
3.854 3.854 0.000 Pr
0.000 0.000 3.854 Y
0.000 3.854 0.000 Y
3.854 0.000 0.000 Y
3.854 3.854 3.854 Y
1.927 1.927 1.927 Mg
1.927 1.927 5.781 Mg
1.927 5.781 1.927 Mg
1.927 5.781 5.781 Mg
5.781 1.927 1.927 Mg
5.781 1.927 5.781 Mg
5.781 5.781 1.927 Mg
5.781 5.781 5.781 Mg
```

Compound: Pr2YMg6
Source: Alexandria
Functional: GGA-PBE
Structure: relaxed

Calculated density, g cm⁻³: 3.497
DFT formation energy, eV/atom: -0.10

Cell and atoms, written as POSCAR:
```
Pr2YMg6
1.0
9.185 0.000 0.000
-4.593 7.955 0.000
0.000 0.000 3.357
Pr Y Mg
2 1 6
Cartesian
0.000 5.303 0.000 Pr
4.593 2.652 0.000 Pr
0.000 0.000 0.000 Y
-1.513 2.620 1.679 Mg
-3.080 5.334 1.679 Mg
3.026 0.000 1.679 Mg
1.513 2.620 1.679 Mg
6.159 0.000 1.679 Mg
3.080 5.334 1.679 Mg
```

Compound: PrY2Mg6
Source: Alexandria
Functional: GGA-PBE
Structure: relaxed

Calculated density, g cm⁻³: 3.202
DFT formation energy, eV/atom: -0.09

Cell and atoms, written as POSCAR:
```
PrY2Mg6
1.0
9.100 0.000 0.000
-4.550 7.881 0.000
0.000 0.000 3.360
Pr Y Mg
1 2 6
Cartesian
0.000 0.000 0.000 Pr
0.000 5.254 0.000 Y
4.550 2.627 0.000 Y
-1.532 2.653 1.680 Mg
-3.018 5.228 1.680 Mg
3.064 0.000 1.680 Mg
1.532 2.653 1.680 Mg
6.036 0.000 1.680 Mg
3.018 5.228 1.680 Mg
```

Compound: Pr12Y5Mg2
Source: Alexandria
Functional: GGA-PBE
Structure: relaxed

Calculated density, g cm⁻³: 5.604
DFT formation energy, eV/atom: 0.08

Cell and atoms, written as POSCAR:
```
Pr12Y5Mg2
1.0
7.990 -4.627 0.000
7.990 4.627 0.000
-0.478 0.000 8.753
Pr Y Mg
12 5 2
Cartesian
0.777 0.000 3.001 Pr
5.795 2.815 2.770 Pr
5.257 1.717 6.694 Pr
9.708 2.815 5.983 Pr
6.664 0.000 1.028 Pr
10.246 1.717 2.059 Pr
5.257 -1.717 6.694 Pr
8.839 0.000 7.725 Pr
5.795 -2.815 2.770 Pr
10.246 -1.717 2.059 Pr
9.708 -2.815 5.983 Pr
14.726 0.000 5.752 Pr
3.220 0.000 0.248 Y
4.080 0.000 3.760 Y
7.751 0.000 4.377 Y
11.423 0.000 4.993 Y
12.283 0.000 8.505 Y
7.990 3.128 0.000 Mg
7.990 -3.128 0.000 Mg
```

Compound: PrYMg2
Source: Alexandria
Functional: GGA-PBE
Structure: relaxed

Calculated density, g cm⁻³: 4.035
DFT formation energy, eV/atom: -0.11
E above lowest polymorph, eV per atom: 0.0083

Cell and atoms, written as POSCAR:
```
PrYMg2
1.0
5.430 0.000 0.000
0.000 5.430 0.000
0.000 0.000 3.886
Pr Y Mg
1 1 2
Cartesian
0.000 0.000 0.000 Pr
2.715 2.715 0.000 Y
0.000 2.715 1.943 Mg
2.715 0.000 1.943 Mg
```

Compound: Pr8Y2Mg
Source: Alexandria
Functional: GGA-PBE
Structure: relaxed

Calculated density, g cm⁻³: 5.754
DFT formation energy, eV/atom: 0.14
E above lowest polymorph, eV per atom: 0.0443

Cell and atoms, written as POSCAR:
```
Pr8Y2Mg
1.0
8.311 -3.427 0.000
8.311 3.427 0.000
-1.342 0.000 6.735
Pr Y Mg
8 2 1
Cartesian
0.409 0.000 6.213 Pr
6.159 1.770 4.139 Pr
3.294 0.000 4.531 Pr
9.120 1.770 2.596 Pr
6.159 -1.770 4.139 Pr
11.985 0.000 2.204 Pr
9.120 -1.770 2.596 Pr
14.870 0.000 0.522 Pr
5.004 0.000 1.306 Y
10.275 0.000 5.429 Y
8.311 0.000 0.000 Mg
```

Compound: PrYMg4
Source: Alexandria
Functional: GGA-PBE
Structure: relaxed

Calculated density, g cm⁻³: 3.354
DFT formation energy, eV/atom: -0.09
E above lowest polymorph, eV per atom: 0.0093

Cell and atoms, written as POSCAR:
```
PrYMg4
1.0
3.351 0.000 0.000
0.000 5.278 0.000
0.000 0.000 9.155
Pr Y Mg
1 1 4
Cartesian
0.000 0.000 0.000 Pr
0.000 2.639 4.578 Y
1.675 0.000 3.095 Mg
1.675 0.000 6.061 Mg
1.675 2.639 1.582 Mg
1.675 2.639 7.573 Mg
```

Compound: PrYMg
Source: Alexandria
Functional: GGA-PBE
Structure: relaxed

Calculated density, g cm⁻³: 4.382
DFT formation energy, eV/atom: 0.29
E above lowest polymorph, eV per atom: 0.3513

Cell and atoms, written as POSCAR:
```
PrYMg
1.0
6.167 0.000 0.000
0.000 6.167 0.000
0.000 0.000 10.129
Pr Y Mg
4 4 4
Cartesian
0.000 0.000 0.000 Pr
0.000 3.083 2.532 Pr
3.083 0.000 7.597 Pr
3.083 3.083 5.064 Pr
0.000 0.000 6.540 Y
0.000 3.083 9.072 Y
3.083 0.000 4.007 Y
3.083 3.083 1.475 Y
0.000 0.000 3.358 Mg
0.000 3.083 5.890 Mg
3.083 0.000 0.826 Mg
3.083 3.083 8.422 Mg
```

Compound: Pr2YMg
Source: Alexandria
Functional: GGA-PBE
Structure: relaxed

Calculated density, g cm⁻³: 5.025
DFT formation energy, eV/atom: 0.04
E above lowest polymorph, eV per atom: 0.0750

Cell and atoms, written as POSCAR:
```
Pr2YMg
1.0
6.234 0.000 0.000
0.000 3.604 0.000
-2.062 0.000 11.621
Pr Y Mg
4 2 2
Cartesian
0.000 0.000 0.000 Pr
0.009 0.000 5.689 Pr
3.117 1.802 0.000 Pr
3.126 1.802 5.689 Pr
-1.028 1.802 8.641 Y
2.089 0.000 8.641 Y
1.042 1.802 2.847 Mg
4.159 0.000 2.847 Mg
```

Compound: Pr2Y2Mg15
Source: Alexandria
Functional: GGA-PBE
Structure: relaxed

Calculated density, g cm⁻³: 2.775
DFT formation energy, eV/atom: -0.02

Cell and atoms, written as POSCAR:
```
Pr2Y2Mg15
1.0
5.284 3.050 5.100
-5.284 3.050 5.100
0.000 -6.101 5.100
Pr Y Mg
2 2 15
Cartesian
0.000 0.000 2.536 Pr
0.000 0.000 12.764 Pr
0.000 0.000 6.110 Y
0.000 0.000 9.191 Y
-2.642 -1.525 5.100 Mg
0.000 -3.128 4.804 Mg
-2.709 1.564 4.804 Mg
-1.565 -2.710 7.650 Mg
-3.129 0.000 7.650 Mg
-2.709 -1.564 10.497 Mg
-2.642 1.525 10.200 Mg
1.565 -2.710 7.650 Mg
0.000 3.050 5.100 Mg
-1.565 2.710 7.650 Mg
2.709 1.564 4.804 Mg
3.129 0.000 7.650 Mg
1.565 2.710 7.650 Mg
2.709 -1.564 10.497 Mg
0.000 3.128 10.497 Mg
```

Compound: Pr10Y6Mg
Source: Alexandria
Functional: GGA-PBE
Structure: relaxed

Calculated density, g cm⁻³: 5.534
DFT formation energy, eV/atom: 0.12

Cell and atoms, written as POSCAR:
```
Pr10Y6Mg
1.0
9.893 0.000 0.000
-4.946 8.568 0.000
0.000 0.000 6.963
Pr Y Mg
10 6 1
Cartesian
-1.317 2.280 2.227 Pr
-3.630 6.287 4.736 Pr
2.633 0.000 2.227 Pr
1.317 2.280 4.736 Pr
0.000 5.712 0.000 Pr
0.000 5.712 3.481 Pr
4.946 2.856 0.000 Pr
4.946 2.856 3.481 Pr
7.260 0.000 4.736 Pr
3.630 6.287 2.227 Pr
-1.823 3.157 5.679 Y
-3.124 5.410 1.284 Y
3.645 0.000 5.679 Y
1.823 3.157 1.284 Y
6.247 0.000 1.284 Y
3.124 5.410 5.679 Y
0.000 0.000 0.000 Mg
```

Compound: Pr14YMg
Source: Alexandria
Functional: GGA-PBE
Structure: relaxed

Calculated density, g cm⁻³: 6.168
DFT formation energy, eV/atom: 0.00

Cell and atoms, written as POSCAR:
```
Pr14YMg
1.0
10.426 0.000 0.000
0.000 5.190 5.189
0.000 -5.190 5.189
Pr Y Mg
14 1 1
Cartesian
0.000 0.000 10.374 Pr
0.000 -2.589 2.592 Pr
0.000 2.589 2.592 Pr
0.000 0.000 5.189 Pr
2.642 -2.602 5.187 Pr
2.642 2.602 5.187 Pr
2.638 0.000 7.790 Pr
2.645 0.000 2.583 Pr
5.213 -2.589 7.784 Pr
5.213 2.589 7.784 Pr
7.782 0.000 2.583 Pr
7.785 -2.602 5.187 Pr
7.785 2.602 5.187 Pr
7.789 0.000 7.790 Pr
5.213 0.000 5.187 Y
5.213 0.000 10.378 Mg
```

Compound: Pr8Y5Mg
Source: Alexandria
Functional: GGA-PBE
Structure: relaxed

Calculated density, g cm⁻³: 5.347
DFT formation energy, eV/atom: 0.22

Cell and atoms, written as POSCAR:
```
Pr8Y5Mg
1.0
-5.229 5.229 4.531
5.229 -5.229 4.531
5.229 5.229 -4.531
Pr Y Mg
8 5 1
Cartesian
8.011 -1.714 1.778 Pr
3.516 -2.781 2.754 Pr
5.212 1.731 -0.658 Pr
2.448 1.714 1.778 Pr
6.943 2.781 2.754 Pr
3.498 -0.018 5.190 Pr
1.731 5.247 0.658 Pr
0.018 3.498 3.873 Pr
6.253 3.907 -3.202 Y
-1.023 1.323 1.329 Y
0.000 0.000 4.531 Y
3.907 4.206 3.202 Y
1.323 1.023 7.734 Y
5.229 0.000 2.266 Mg
```